# 1
This record from Alexandria describes crystalline Hf2N2O at its relaxed geometry. The functional is PBEsol.

Cell lengths 13.4567, 3.2414, 8.1116 Å; angles 90.00, 99.95, 90.00 degrees
Space group Cm (No. 8)
One atom of each set of equivalent atoms:
Hf 0.0000 0.0000 0.0000
Hf 0.0555 0.0000 0.6588
Hf 0.1630 0.5000 0.3329
Hf 0.2303 0.5000 0.9457
Hf 0.3297 0.0000 0.6123
Hf 0.3880 0.0000 0.2644
N 0.0244 0.5000 0.1684
N 0.0726 0.5000 0.8429
N 0.1590 0.0000 0.4854
N 0.3199 0.5000 0.4068
N 0.3674 0.5000 0.0966
N 0.3996 0.5000 0.7540
O 0.1968 0.0000 0.1219
O 0.2293 0.0000 0.7944
O 0.4800 0.0000 0.5124

Values from the calculation:
Crystal system: monoclinic
Electronic total energy in eV per atom: -10.953


# 2
This record from Alexandria describes crystalline Hf2N2O at its relaxed geometry. The functional is PBEsol.

Cell lengths 13.5038, 3.2308, 8.1021 Å; angles 90.00, 100.33, 90.00 degrees
Space group C2/m (No. 12)
One atom of each set of equivalent atoms:
Hf 0.0309 0.0000 0.3086
Hf 0.1299 0.5000 0.9743
Hf 0.1948 0.5000 0.6317
N 0.0354 0.5000 0.1561
N 0.1269 0.0000 0.7851
N 0.1719 0.0000 0.4640
O 0.0000 0.5000 0.5000
O 0.2107 0.0000 0.1173

Values from the calculation:
Crystal system: monoclinic
Electronic total energy in eV per atom: -10.980


# 3
This record from Alexandria describes crystalline Hf2N2O at its relaxed geometry. The functional is PBEsol.

Cell lengths 9.4202, 5.4125, 14.4172 Å; angles 90.00, 90.11, 90.00 degrees
Space group C2/c (No. 15)
One atom of each set of equivalent atoms:
Hf 0.0015 0.0067 0.1427
Hf 0.1757 0.4990 0.4759
Hf 0.1766 0.4934 0.6901
N 0.1470 0.1502 0.2485
N 0.1607 0.2041 0.5819
N 0.1871 0.1501 0.9151
O 0.0000 0.3037 0.7500
O 0.0118 0.3505 0.0821

Values from the calculation:
Crystal system: monoclinic
Electronic total energy in eV per atom: -10.957


# 4
This record from Alexandria describes crystalline Hf5N5O2 at its relaxed geometry. The functional is PBEsol.

Cell lengths 10.3130, 3.0399, 9.0157 Å; angles 90.00, 105.66, 90.00 degrees
Space group C2/m (No. 12)
One atom of each set of equivalent atoms:
Hf 0.0000 0.0000 0.0000
Hf 0.1127 0.0000 0.4228
Hf 0.2027 0.5000 0.8087
N 0.0000 0.5000 0.5000
N 0.1569 0.5000 0.0532
N 0.2370 0.5000 0.3520
O 0.0447 0.0000 0.7869

Values from the calculation:
Crystal system: monoclinic
Energy relative to the lowest polymorph listed for this composition in meV/atom: 0
Electronic total energy in eV per atom: -11.084


# 5
This record from Alexandria describes crystalline Hf2N2O at its relaxed geometry. The functional is PBEsol.

Cell lengths 5.7167, 6.6816, 5.9303 Å; angles 90.00, 90.98, 90.00 degrees
Space group P2_1/c (No. 14)
One atom of each set of equivalent atoms:
Hf 0.2333 0.1304 0.4006
Hf 0.2531 0.6206 0.4203
N 0.0072 0.6268 0.7417
N 0.3684 0.1335 0.0854
O 0.3500 0.6160 0.0834

Values from the calculation:
Crystal system: monoclinic
Electronic total energy in eV per atom: -10.968


# 6
This record from Alexandria describes crystalline Hf2N2O at its relaxed geometry. The functional is PBEsol.

Cell lengths 5.3645, 6.3996, 6.8969 Å; angles 76.66, 89.61, 89.99 degrees
Space group P1 (No. 1)
One atom of each set of equivalent atoms:
Hf 0.0000 0.0000 0.0000
Hf 0.0045 0.4963 0.0043
Hf 0.4311 0.3150 0.7389
Hf 0.4454 0.8135 0.7364
Hf 0.5087 0.1762 0.2892
Hf 0.5445 0.6846 0.2604
Hf 0.9352 0.3625 0.5478
Hf 0.9437 0.8618 0.5469
N 0.1577 0.0720 0.7005
N 0.1583 0.5749 0.7051
N 0.2755 0.2397 0.0313
N 0.6557 0.1000 0.5890
N 0.6611 0.6075 0.5746
N 0.7564 0.7657 0.9221
N 0.7792 0.4229 0.2612
N 0.7820 0.9446 0.2597
O 0.2592 0.7406 0.0376
O 0.2885 0.4066 0.3967
O 0.2920 0.8923 0.3932
O 0.7872 0.2803 0.8836

Values from the calculation:
Crystal system: triclinic
Electronic total energy in eV per atom: -10.987


# 7
This record from Alexandria describes crystalline Hf2N2O at its relaxed geometry. The functional is PBEsol.

Cell lengths 5.7485, 5.4481, 7.8386 Å; angles 90.00, 94.47, 90.00 degrees
Space group P2/c (No. 13)
One atom of each set of equivalent atoms:
Hf 0.2113 0.0106 0.1455
Hf 0.2790 0.4996 0.3571
N 0.0000 0.3057 0.2500
N 0.1514 0.1521 0.8995
N 0.5000 0.2155 0.2500
O 0.3514 0.3477 0.6022

Values from the calculation:
Crystal system: monoclinic
Electronic total energy in eV per atom: -10.937


# 8
This record from Alexandria describes crystalline Hf2N2O at its relaxed geometry. The functional is PBEsol.

Cell lengths 9.4641, 5.3826, 10.1880 Å; angles 90.00, 108.68, 90.00 degrees
Space group C2 (No. 5)
One atom of each set of equivalent atoms:
Hf 0.0568 0.0000 0.1608
Hf 0.0597 0.4888 0.6600
Hf 0.2011 0.9979 0.5900
Hf 0.2092 0.4949 0.0880
N 0.1045 0.1563 0.7568
N 0.1465 0.8553 0.0029
N 0.1504 0.3648 0.5048
N 0.2473 0.2135 0.2508
O 0.0000 0.3115 0.0000
O 0.0000 0.8209 0.5000
O 0.0974 0.6624 0.2587

Values from the calculation:
Crystal system: monoclinic
Electronic total energy in eV per atom: -10.957


# 9
This record from Alexandria describes crystalline Hf2N2O at its relaxed geometry. The functional is PBEsol.

Cell lengths 8.0388, 3.2432, 13.6226 Å; angles 90.00, 99.42, 90.00 degrees
Space group Pm (No. 6)
One atom of each set of equivalent atoms:
Hf 0.0000 0.0000 0.0000
Hf 0.0007 0.0000 0.2903
Hf 0.0072 0.5000 0.5050
Hf 0.2685 0.5000 0.1619
Hf 0.3207 0.0000 0.6752
Hf 0.3225 0.5000 0.9005
Hf 0.3668 0.0000 0.4019
Hf 0.6280 0.5000 0.2661
Hf 0.6430 0.0000 0.0652
Hf 0.6475 0.5000 0.5666
Hf 0.7033 0.5000 0.8525
Hf 0.9664 0.0000 0.7200
N 0.0924 0.0000 0.1557
N 0.1291 0.5000 0.6544
N 0.1405 0.0000 0.4598
N 0.1636 0.5000 0.0007
N 0.2048 0.0000 0.8197
N 0.4355 0.0000 0.2560
N 0.4790 0.0000 0.5663
N 0.4912 0.5000 0.0923
N 0.7580 0.0000 0.2117
N 0.8014 0.5000 0.0097
N 0.8358 0.0000 0.5489
N 0.8581 0.0000 0.8504
O 0.1997 0.5000 0.3151
O 0.4635 0.5000 0.7487
O 0.5270 0.0000 0.9097
O 0.5406 0.5000 0.4131
O 0.7934 0.5000 0.7064
O 0.8804 0.5000 0.3534

Values from the calculation:
Crystal system: monoclinic
Electronic total energy in eV per atom: -10.968


# 10
This record from Alexandria describes crystalline HfPNO2 at its relaxed geometry. The functional is PBEsol.

Cell lengths 3.9529, 3.9529, 4.3044 Å; angles 90.00, 90.00, 90.00 degrees
Space group P4/mmm (No. 123)
One atom of each set of equivalent atoms:
Hf 0.0000 0.0000 0.0000
P 0.5000 0.5000 0.5000
N 0.0000 0.0000 0.5000
O 0.0000 0.5000 0.0000

Values from the calculation:
Crystal system: tetragonal
Electronic total energy in eV per atom: -7.750


# 11
This record from Alexandria describes crystalline HfSiNO2 at its relaxed geometry. The functional is PBEsol.

Cell lengths 4.0019, 4.0019, 4.2417 Å; angles 90.00, 90.00, 90.00 degrees
Space group P4/mmm (No. 123)
One atom of each set of equivalent atoms:
Hf 0.0000 0.0000 0.0000
Si 0.5000 0.5000 0.5000
N 0.0000 0.0000 0.5000
O 0.0000 0.5000 0.0000

Values from the calculation:
Crystal system: tetragonal
Electronic total energy in eV per atom: -8.074


# 12
This record from Alexandria describes crystalline Sr2HfNO at its relaxed geometry. The functional is PBEsol.

Cell lengths 5.0495, 5.0495, 4.0797 Å; angles 90.00, 90.00, 90.00 degrees
Space group P4/mmm (No. 123)
One atom of each set of equivalent atoms:
Sr 0.0000 0.5000 0.0000
Hf 0.0000 0.0000 0.5000
N 0.5000 0.5000 0.5000
O 0.0000 0.0000 0.0000

Values from the calculation:
Crystal system: tetragonal
Electronic total energy in eV per atom: -5.959


# 13
This record from Alexandria describes crystalline HfTaNO2 at its relaxed geometry. The functional is PBEsol.

Cell lengths 3.8705, 3.8705, 4.1081 Å; angles 90.00, 90.00, 90.00 degrees
Space group P4/mmm (No. 123)
One atom of each set of equivalent atoms:
Hf 0.0000 0.0000 0.0000
Ta 0.5000 0.5000 0.5000
N 0.5000 0.5000 0.0000
O 0.0000 0.5000 0.5000

Values from the calculation:
Crystal system: tetragonal
Electronic total energy in eV per atom: -9.831


# 14
This record from Alexandria describes crystalline HfTaNO3 at its relaxed geometry. The functional is PBEsol.

Cell lengths 5.0176, 5.0762, 5.2492 Å; angles 90.00, 99.40, 90.00 degrees
Space group P2_1 (No. 4)
One atom of each set of equivalent atoms:
Hf 0.2167 0.0000 0.0367
Ta 0.2119 0.5927 0.5374
N 0.0541 0.3046 0.2871
O 0.0551 0.2917 0.7697
O 0.4262 0.6972 0.8982
O 0.4408 0.8498 0.3994

Values from the calculation:
Crystal system: monoclinic
Electronic total energy in eV per atom: -10.657


# 15
This record from Alexandria describes crystalline HfTiNO2 at its relaxed geometry. The functional is PBEsol.

Cell lengths 3.9452, 3.9452, 4.2101 Å; angles 90.00, 90.00, 90.00 degrees
Space group P4/mmm (No. 123)
One atom of each set of equivalent atoms:
Hf 0.0000 0.0000 0.0000
Ti 0.5000 0.5000 0.5000
N 0.0000 0.0000 0.5000
O 0.0000 0.5000 0.0000

Values from the calculation:
Crystal system: tetragonal
Electronic total energy in eV per atom: -9.094


# 16
This record from Alexandria describes crystalline Hf3OsN at its relaxed geometry. The functional is PBEsol.

Cell lengths 4.3144, 4.3144, 4.3144 Å; angles 90.00, 90.00, 90.00 degrees
Space group Pm-3m (No. 221)
One atom of each set of equivalent atoms:
Hf 0.0000 0.0000 0.5000
Os 0.5000 0.5000 0.5000
N 0.0000 0.0000 0.0000

Values from the calculation:
Crystal system: cubic
Electronic total energy in eV per atom: -11.330


# 17
This record from Alexandria describes crystalline HfOsSeN2 at its relaxed geometry. The functional is PBEsol.

Cell lengths 3.9851, 3.9851, 5.4152 Å; angles 90.00, 90.00, 90.00 degrees
Space group P4/mmm (No. 123)
One atom of each set of equivalent atoms:
Hf 0.0000 0.0000 0.0000
Os 0.5000 0.5000 0.5000
Se 0.0000 0.0000 0.5000
N 0.0000 0.5000 0.0000

Values from the calculation:
Crystal system: tetragonal
Energy relative to the lowest polymorph listed for this composition in meV/atom: 729
Electronic total energy in eV per atom: -7.570


# 18
This record from Alexandria describes crystalline HfOsSeN2 at its relaxed geometry. The functional is PBEsol.

Cell lengths 3.8113, 3.8113, 5.1355 Å; angles 90.00, 90.00, 90.00 degrees
Space group P4/mmm (No. 123)
One atom of each set of equivalent atoms:
Hf 0.0000 0.0000 0.0000
Os 0.5000 0.5000 0.5000
Se 0.5000 0.5000 0.0000
N 0.0000 0.5000 0.5000

Values from the calculation:
Crystal system: tetragonal
Energy relative to the lowest polymorph listed for this composition in meV/atom: 0
Electronic total energy in eV per atom: -8.299


# 19
This record from Alexandria describes crystalline HfP3N at its relaxed geometry. The functional is PBEsol.

Cell lengths 4.9120, 4.9120, 4.9120 Å; angles 90.00, 90.00, 90.00 degrees
Space group Pm-3m (No. 221)
One atom of each set of equivalent atoms:
Hf 0.0000 0.0000 0.0000
P 0.0000 0.0000 0.5000
N 0.5000 0.5000 0.5000

Values from the calculation:
Crystal system: cubic
Electronic total energy in eV per atom: -5.827


# 20
This record from Alexandria describes crystalline HfPSN2 at its relaxed geometry. The functional is PBEsol.

Cell lengths 3.6038, 3.6038, 4.3477 Å; angles 90.00, 90.00, 90.00 degrees
Space group P4/mmm (No. 123)
One atom of each set of equivalent atoms:
Hf 0.0000 0.0000 0.0000
P 0.5000 0.5000 0.5000
S 0.5000 0.5000 0.0000
N 0.0000 0.5000 0.5000

Values from the calculation:
Crystal system: tetragonal
Electronic total energy in eV per atom: -7.495


no.,formation energy (no corrections) (eV/f.u.)
1,-11.5
2,-11.6
3,-11.5
4,-27.4
5,-11.5
6,-11.6
7,-11.4
8,-11.5
9,-11.5
10,-3.4
11,-5.1
12,-1.8
13,-7.1
14,-16.6
15,-7.6
16,-4.4
17,5.8
18,2.1
19,7.3
20,0.3